# SmDyLuHg

A relaxed structure of SmDyLuHg (GGA-PBE, Alexandria via LeMat-Bulk).

Geometry as CIF:
```
data_SmDyLuHg
_symmetry_space_group_name_H-M 'F -4 3 m'
_symmetry_Int_Tables_number 216
_symmetry_space_group_name_Hall 'F -4 2 3'
_cell_length_a 7.6514
_cell_length_b 7.6514
_cell_length_c 7.6514
_cell_angle_alpha 90.00
_cell_angle_beta 90.00
_cell_angle_gamma 90.00
loop_
_atom_site_label
_atom_site_fract_x
_atom_site_fract_y
_atom_site_fract_z
Sm1 0.0000 0.0000 0.0000
Dy1 0.0000 0.0000 0.5000
Lu1 0.2500 0.2500 0.2500
Hg1 0.2500 0.2500 0.7500
```

Volume ... 447.95 Å³ per cell
Density ... 10.2 g cm⁻³
Magnetization ... 0.07 μB/cell
Formation energy ... -0.29 eV/f.u.